Here is an optimized crystal structure of LiNbSe3 from the Alexandria database. Energies are from PBE-GGA.

Geometry as POSCAR:
```
LiNbSe3
1.0
-2.3107 -2.1894 -0.5565
8.2848 -7.9276 -3.2092
3.9400 1.1073 7.4361
Se Li Nb
6 2 2
Cartesian
3.4524 -3.6819 0.4196
0.9984 -1.3337 1.3701
4.7632 -1.2552 4.3524
6.4617 -5.3279 3.2509
8.9157 -7.6761 2.3003
5.1509 -7.7546 -0.6820
6.1719 -6.0193 -2.3328
3.7423 -2.9905 6.0033
3.5289 -1.6668 2.1824
6.3853 -7.3430 1.4881
```

## Properties
- Energy relative to the elements, uncorrected: -0.81 eV/atom
- SG: P2_1/m
- Offset from the most stable computed form: 49 meV per atom
- E_tot: -5.30 eV per atom

=====

Here is an optimized crystal structure of LiNb2Se6 from the Alexandria database. Energies are from PBE-GGA.

Geometry as POSCAR:
```
LiNb2Se6
1.0
-4.7665 -2.0948 -3.4533
1.7821 -5.8843 1.1097
-6.4201 -0.2452 9.0101
Nb Se Li
4 12 2
Cartesian
-3.6807 -4.0732 1.8996
-5.7238 -4.1512 4.7670
-5.3985 -0.2061 7.5765
-1.0216 -0.0390 1.4337
-7.7451 -3.0451 3.5752
-5.4956 -2.9592 0.4182
-3.9088 -5.2651 6.2484
-3.4102 -2.8797 -2.5083
-1.9989 -2.3802 0.8920
-7.4055 -5.8441 5.7745
-6.1695 -2.5394 6.7452
0.4259 -5.0995 0.1647
-1.6593 -5.1792 3.0914
-5.3203 -5.7647 2.8479
-3.2349 -5.6849 -0.0786
-4.0841 -2.4596 3.8187
-3.2100 -0.1226 4.5051
-1.4922 -3.9896 -1.1718
```

## Properties
- Energy relative to the elements, uncorrected: -0.58 eV/atom
- SG: P4_2/mnm
- E_tot: -5.36 eV per atom

=====

Here is an optimized crystal structure of LiNbSe3 from the Alexandria database. Energies are from PBE-GGA.

Geometry as POSCAR:
```
LiNbSe3
1.0
-3.3035 -1.2902 -1.8013
4.4002 -9.0723 2.8203
-3.7273 1.1326 6.0244
Se Nb Li
6 2 2
Cartesian
0.1107 -10.0084 2.5735
-0.9496 -3.5685 -0.0945
-1.6810 -5.6614 7.1378
-1.1530 -2.6028 3.9788
-2.7413 0.7785 4.4698
-1.4776 -6.6271 3.0645
-0.1591 -7.9018 1.5596
-2.4715 -1.3281 5.4838
-2.6851 -1.8321 1.8447
0.0545 -7.3978 5.1987
```

## Properties
- Energy relative to the elements, uncorrected: -0.70 eV/atom
- SG: C2/m
- Offset from the most stable computed form: 161 meV per atom
- E_tot: -5.19 eV per atom

=====

Here is an optimized crystal structure of Li3NbSe from the Alexandria database. Energies are from PBE-GGA.

Geometry as POSCAR:
```
Li3NbSe
1.0
5.0556 0.0000 0.0000
0.0000 5.0556 0.0000
0.0000 0.0000 5.0556
Li Se Nb
3 1 1
Cartesian
0.0000 0.0000 2.5278
0.0000 2.5278 0.0000
2.5278 0.0000 0.0000
2.5278 2.5278 2.5278
0.0000 0.0000 0.0000
```

## Properties
- Energy relative to the elements, uncorrected: 1.06 eV/atom
- SG: Pm-3m
- Offset from the most stable computed form: 755 meV per atom
- E_tot: -2.80 eV per atom

=====

- Which of these has the lowest E_tot?
  LiNb2Se6